A crystal of NiAg2Ir relaxed with PBEsol, computed with meta-GGA SCAN.

Computed properties:
The calculation puts the energy relative to the elements at 506 meV per atom. For the polymorph energy (0 for the lowest one), the calculation gives 0 meV per atom. The symmetry is No. 123. The total magnetization comes out at 1.64 Bohr magnetons per cell.

Geometry as POSCAR:
```
NiAg2Ir
1.0
3.7525 0.0000 0.0000
0.0000 3.7525 0.0000
0.0000 0.0000 4.0904
Ag Ir Ni
2 1 1
direct
0.5000 0.0000 0.0000 Ag
0.0000 0.5000 0.0000 Ag
0.5000 0.5000 0.5000 Ir
0.0000 0.0000 0.5000 Ni
```

A crystal of MgBSb3 relaxed with PBEsol, computed with meta-GGA SCAN.

Computed properties:
The value obtained for the formation energy from raw total energies is 672 meV per atom. The symmetry is No. 221. The total magnetization comes out at 0.00 Bohr magnetons per cell.

Geometry as POSCAR:
```
MgBSb3
1.0
-0.3548 0.0657 4.8121
3.0734 -3.7099 0.2773
3.7033 3.0852 0.2309
Mg Sb B
1 3 1
direct
0.5000 0.5000 0.5000 Mg
0.0000 0.0000 0.5000 Sb
0.0000 0.5000 0.0000 Sb
0.5000 0.0000 0.0000 Sb
0.0000 0.0000 0.0000 B
```

A crystal of CaCu2Rh relaxed with PBEsol, computed with meta-GGA SCAN.

Computed properties:
The calculation puts the energy relative to the elements at 535 meV per atom. For the polymorph energy (0 for the lowest one), the calculation gives 500 meV per atom. The symmetry is No. 166. The total magnetization comes out at 0.00 Bohr magnetons per cell.

Geometry as POSCAR:
```
CaCu2Rh
1.0
2.8034 0.0000 0.0000
1.4017 2.4278 0.0000
1.4017 0.8093 8.9150
Ca Rh Cu
1 1 2
direct
0.0000 0.0000 0.0000 Ca
0.5000 0.5000 0.5000 Rh
0.7574 0.7574 0.7277 Cu
0.2426 0.2426 0.2723 Cu
```

A crystal of CuRu2Cl relaxed with PBEsol, computed with meta-GGA SCAN.

Computed properties:
The value obtained for the formation energy from raw total energies is 742 meV per atom. For the polymorph energy (0 for the lowest one), the calculation gives 506 meV per atom. The symmetry is No. 10. The total magnetization comes out at 0.00 Bohr magnetons per cell.

Geometry as POSCAR:
```
CuRu2Cl
1.0
-0.1760 0.8054 2.6848
-3.5267 -1.5018 0.2193
2.0256 -4.7414 0.1055
Ru Cl Cu
2 1 1
direct
0.6137 0.0000 0.7640 Ru
0.3863 0.0000 0.2360 Ru
0.5000 0.5000 0.0000 Cl
0.0000 0.5000 0.5000 Cu
```

A crystal of In2BrCl relaxed with PBEsol, computed with meta-GGA SCAN.

Computed properties:
The value obtained for the formation energy from raw total energies is -781 meV per atom. For the polymorph energy (0 for the lowest one), the calculation gives 0 meV per atom. The symmetry is No. 8. The total magnetization comes out at 0.00 Bohr magnetons per cell.

Geometry as POSCAR:
```
In2BrCl
1.0
4.3640 0.0000 0.0000
0.0000 4.4255 0.0230
-2.1820 -0.0511 5.9316
In Br Cl
2 1 1
direct
0.2272 0.3801 0.4544 In
0.0171 0.8754 0.0342 In
0.4770 0.3730 0.9541 Br
0.7787 0.8715 0.5574 Cl
```

A crystal of ZrPb3C relaxed with PBEsol, computed with meta-GGA SCAN.

Computed properties:
The calculation puts the energy relative to the elements at 1122 meV per atom. The symmetry is No. 221. The total magnetization comes out at 0.00 Bohr magnetons per cell.

Geometry as POSCAR:
```
ZrPb3C
1.0
4.8639 0.0000 0.0000
0.0000 4.8639 0.0000
0.0000 0.0000 4.8639
Zr Pb C
1 3 1
direct
0.5000 0.5000 0.5000 Zr
0.0000 0.5000 0.0000 Pb
0.5000 0.0000 0.0000 Pb
0.0000 0.0000 0.5000 Pb
0.0000 0.0000 0.0000 C
```

A crystal of CdRh2Pb relaxed with PBEsol, computed with meta-GGA SCAN.

Computed properties:
The calculation puts the energy relative to the elements at -15 meV per atom. The symmetry is No. 47. The total magnetization comes out at 0.00 Bohr magnetons per cell.

Geometry as POSCAR:
```
CdRh2Pb
1.0
-3.1257 0.3425 -0.4774
0.4505 -0.4917 -3.3025
-0.8027 -6.1932 0.8126
Rh Cd Pb
2 1 1
direct
0.0000 0.0000 0.7478 Rh
0.0000 0.0000 0.2522 Rh
0.5000 0.5000 0.0000 Cd
0.5000 0.5000 0.5000 Pb
```

A crystal of KZr2RuI relaxed with PBEsol, computed with meta-GGA SCAN.

Computed properties:
The value obtained for the formation energy from raw total energies is 2184 meV per atom. The symmetry is No. 123. The total magnetization comes out at 0.00 Bohr magnetons per cell.

Geometry as POSCAR:
```
KZr2RuI
1.0
4.3690 0.0000 0.0000
0.0000 5.1036 0.0000
0.0000 0.0000 5.1036
K Ru Zr I
1 1 2 1
direct
0.0000 0.0000 0.0000 K
0.5000 0.0000 0.0000 Ru
0.0000 0.0000 0.5000 Zr
0.0000 0.5000 0.0000 Zr
0.5000 0.5000 0.5000 I
```

A crystal of BeCS2Cl relaxed with PBEsol, computed with meta-GGA SCAN.

Computed properties:
The value obtained for the formation energy from raw total energies is 1385 meV per atom. The symmetry is No. 123. The total magnetization comes out at 0.00 Bohr magnetons per cell.

Geometry as POSCAR:
```
BeCS2Cl
1.0
4.0010 0.0000 0.0000
0.0000 4.0010 0.0000
0.0000 0.0000 4.3313
S Cl C Be
2 1 1 1
direct
0.5000 0.0000 0.0000 S
0.0000 0.5000 0.0000 S
0.0000 0.0000 0.5000 Cl
0.0000 0.0000 0.0000 C
0.5000 0.5000 0.5000 Be
```

A crystal of AlHgOs2 relaxed with PBEsol, computed with meta-GGA SCAN.

Computed properties:
The calculation puts the energy relative to the elements at 551 meV per atom. For the polymorph energy (0 for the lowest one), the calculation gives 177 meV per atom. The symmetry is No. 47. The total magnetization comes out at 0.00 Bohr magnetons per cell.

Geometry as POSCAR:
```
AlHgOs2
1.0
-0.1161 -0.7141 -2.7749
-3.0478 -3.2278 0.9581
-3.5137 3.1228 -0.6566
Os Hg Al
2 1 1
direct
0.5000 0.0000 0.5000 Os
0.0000 0.0000 0.0000 Os
0.0000 0.5000 0.5000 Hg
0.5000 0.5000 0.0000 Al
```

A crystal of CrBiBr2 relaxed with PBEsol, computed with meta-GGA SCAN.

Computed properties:
The value obtained for the formation energy from raw total energies is -122 meV per atom. The symmetry is No. 122. The total magnetization comes out at 6.41 Bohr magnetons per cell.

Geometry as POSCAR:
```
CrBiBr2
1.0
6.3722 1.3762 1.9510
-1.9768 6.2122 -1.9510
-1.9768 -3.9222 5.1975
Cr Br Bi
2 4 2
direct
0.0000 0.5000 0.5000 Cr
0.5000 0.2500 0.7500 Cr
0.6271 0.2521 0.1250 Br
0.3729 0.4979 0.6250 Br
0.8729 0.3750 0.7479 Br
0.1271 0.8750 0.5021 Br
0.5000 0.7500 0.2500 Bi
0.0000 0.0000 0.0000 Bi
```

A crystal of Mo2WSe2S4 relaxed with PBEsol, computed with meta-GGA SCAN.

Computed properties:
The value obtained for the formation energy from raw total energies is -788 meV per atom. The symmetry is No. 156. The total magnetization comes out at 0.00 Bohr magnetons per cell.

Geometry as POSCAR:
```
Mo2WSe2S4
1.0
-0.0891 -3.0218 0.9907
2.7517 1.5965 0.0091
-3.6351 6.1602 18.4631
Se S Mo W
2 4 2 1
direct
0.6667 0.3333 0.4197 Se
0.6667 0.3333 0.2468 Se
0.0000 0.0000 0.7348 S
0.6667 0.3333 0.0468 S
0.0000 0.0000 0.5789 S
0.6667 0.3333 0.8910 S
0.0000 0.0000 0.9690 Mo
0.6667 0.3333 0.6569 Mo
0.0000 0.0000 0.3332 W
```

A crystal of Rb3InF6 relaxed with PBEsol, computed with meta-GGA SCAN.

Computed properties:
The value obtained for the formation energy from raw total energies is -2876 meV per atom. The symmetry is No. 225. The total magnetization comes out at 0.00 Bohr magnetons per cell.

Geometry as POSCAR:
```
Rb3InF6
1.0
6.5916 0.0000 0.0000
3.2958 5.7085 0.0000
3.2958 1.9028 5.3820
F In Rb
6 1 3
direct
0.2228 0.7772 0.2228 F
0.7772 0.2228 0.2228 F
0.2228 0.2228 0.7772 F
0.7772 0.2228 0.7772 F
0.2228 0.7772 0.7772 F
0.7772 0.7772 0.2228 F
0.0000 0.0000 0.0000 In
0.7500 0.7500 0.7500 Rb
0.5000 0.5000 0.5000 Rb
0.2500 0.2500 0.2500 Rb
```

A crystal of MgTcBr relaxed with PBEsol, computed with meta-GGA SCAN.

Computed properties:
The value obtained for the formation energy from raw total energies is 595 meV per atom. The symmetry is No. 187. The total magnetization comes out at 1.53 Bohr magnetons per cell.

Geometry as POSCAR:
```
MgTcBr
1.0
3.0520 0.0000 0.0000
0.0000 4.4163 0.0000
0.0000 -2.2082 3.8247
Br Mg Tc
1 1 1
direct
0.5000 0.0000 0.0000 Br
0.0000 0.3333 0.6667 Mg
0.5000 0.6667 0.3333 Tc
```

A crystal of Mo5W4 relaxed with PBEsol, computed with meta-GGA SCAN.

Computed properties:
The calculation puts the energy relative to the elements at -4 meV per atom. The symmetry is No. 139. The total magnetization comes out at 0.00 Bohr magnetons per cell.

Geometry as POSCAR:
```
Mo5W4
1.0
-0.0776 1.1188 2.9331
-6.4982 1.9877 0.7509
-1.6278 -5.4917 3.7327
W Mo
4 5
direct
0.6673 0.3327 0.3327 W
0.3327 0.6673 0.6673 W
0.0000 0.3327 0.6673 W
0.0000 0.6673 0.3327 W
0.6664 0.0000 0.6671 Mo
0.0000 0.0000 0.0000 Mo
0.6664 0.6671 0.0000 Mo
0.3336 0.3329 0.0000 Mo
0.3336 0.0000 0.3329 Mo
```

A crystal of CaReS2N relaxed with PBEsol, computed with meta-GGA SCAN.

Computed properties:
The value obtained for the formation energy from raw total energies is -697 meV per atom. The symmetry is No. 123. The total magnetization comes out at 0.65 Bohr magnetons per cell.

Geometry as POSCAR:
```
CaReS2N
1.0
-0.0138 -0.8789 3.6651
0.9561 -4.5632 -1.0906
4.6916 0.9258 0.2396
S N Ca Re
2 1 1 1
direct
0.0000 0.5000 0.0000 S
0.0000 0.0000 0.5000 S
0.5000 0.0000 0.0000 N
0.5000 0.5000 0.5000 Ca
0.0000 0.0000 0.0000 Re
```

A crystal of KRb3Co relaxed with PBEsol, computed with meta-GGA SCAN.

Computed properties:
The calculation puts the energy relative to the elements at 926 meV per atom. The symmetry is No. 221. The total magnetization comes out at 1.88 Bohr magnetons per cell.

Geometry as POSCAR:
```
KRb3Co
1.0
-3.9893 2.2689 -5.9932
-6.3434 -2.4003 3.3137
-0.9097 6.7876 3.1752
Co Rb K
1 3 1
direct
0.5000 0.5000 0.5000 Co
0.5000 0.0000 0.0000 Rb
0.0000 0.0000 0.5000 Rb
0.0000 0.5000 0.0000 Rb
0.0000 0.0000 0.0000 K
```

A crystal of CuSe3Br relaxed with PBEsol, computed with meta-GGA SCAN.

Computed properties:
The value obtained for the formation energy from raw total energies is -173 meV per atom. The symmetry is No. 53. The total magnetization comes out at 0.00 Bohr magnetons per cell.

Geometry as POSCAR:
```
CuSe3Br
1.0
-2.1855 2.7223 2.8746
4.0561 -2.7859 5.7220
9.8388 10.0806 -2.0663
Cu Se Br
4 12 4
direct
0.7956 0.7500 0.2500 Cu
0.7956 0.7500 0.7500 Cu
0.2044 0.2500 0.2500 Cu
0.2044 0.2500 0.7500 Cu
0.0996 0.6501 0.8730 Se
0.9004 0.1501 0.6270 Se
0.0996 0.6501 0.1270 Se
0.0996 0.8499 0.3730 Se
0.8316 0.7737 0.0000 Se
0.9004 0.1501 0.3730 Se
0.9004 0.3499 0.8730 Se
0.1684 0.2263 0.0000 Se
0.1684 0.2737 0.5000 Se
0.8316 0.7263 0.5000 Se
0.0996 0.8499 0.6270 Se
0.9004 0.3499 0.1270 Se
0.5000 0.5000 0.6857 Br
0.5000 0.5000 0.3143 Br
0.5000 0.0000 0.8143 Br
0.5000 0.0000 0.1857 Br
```

A crystal of LaCuHg relaxed with PBEsol, computed with meta-GGA SCAN.

Computed properties:
The calculation puts the energy relative to the elements at -469 meV per atom. The symmetry is No. 187. The total magnetization comes out at 0.00 Bohr magnetons per cell.

Geometry as POSCAR:
```
LaCuHg
1.0
3.6174 0.0000 0.0000
0.0000 4.6523 0.0000
0.0000 -2.3262 4.0290
Hg La Cu
1 1 1
direct
0.0000 0.6667 0.3333 Hg
0.5000 0.3333 0.6667 La
0.0000 0.0000 0.0000 Cu
```

A crystal of LaRu relaxed with PBEsol, computed with meta-GGA SCAN.

Computed properties:
The calculation puts the energy relative to the elements at -7 meV per atom. The symmetry is No. 12. The total magnetization comes out at 0.00 Bohr magnetons per cell.

Geometry as POSCAR:
```
LaRu
1.0
3.1643 0.0000 0.0000
-1.5822 5.1172 -0.0105
0.0000 -1.2972 5.2846
Ru La
2 2
direct
0.6726 0.3451 0.8217 Ru
0.3274 0.6549 0.1783 Ru
0.1044 0.2088 0.2908 La
0.8956 0.7912 0.7092 La
```

A crystal of MgCuSb relaxed with PBEsol, computed with meta-GGA SCAN.

Computed properties:
The value obtained for the formation energy from raw total energies is 23 meV per atom. The symmetry is No. 107. The total magnetization comes out at 0.00 Bohr magnetons per cell.

Geometry as POSCAR:
```
MgCuSb
1.0
-0.5393 -3.3345 1.7991
2.0767 -1.7801 -2.6768
2.5107 3.1772 2.5708
Mg Cu Sb
1 1 1
direct
0.3275 0.3275 0.6550 Mg
0.0027 0.0027 0.0053 Cu
0.6699 0.6699 0.3397 Sb
```

A crystal of Be3FeS relaxed with PBEsol, computed with meta-GGA SCAN.

Computed properties:
The value obtained for the formation energy from raw total energies is 857 meV per atom. The symmetry is No. 221. The total magnetization comes out at 2.57 Bohr magnetons per cell.

Geometry as POSCAR:
```
Be3FeS
1.0
-0.6306 1.3942 -3.6523
1.8977 -3.1252 -1.5207
-3.4179 -1.9924 -0.1705
Be S Fe
3 1 1
direct
0.0000 0.5000 0.0000 Be
0.5000 0.0000 0.0000 Be
0.0000 0.0000 0.5000 Be
0.0000 0.0000 0.0000 S
0.5000 0.5000 0.5000 Fe
```

A crystal of Ca3TcW relaxed with PBEsol, computed with meta-GGA SCAN.

Computed properties:
The calculation puts the energy relative to the elements at 1782 meV per atom. The symmetry is No. 221. The total magnetization comes out at 6.03 Bohr magnetons per cell.

Geometry as POSCAR:
```
Ca3TcW
1.0
-0.6871 -4.0031 -3.4656
4.6767 1.1798 -2.2900
2.4828 -3.3303 3.3545
Ca W Tc
3 1 1
direct
0.0000 0.5000 0.0000 Ca
0.5000 0.0000 0.0000 Ca
0.0000 0.0000 0.5000 Ca
0.0000 0.0000 0.0000 W
0.5000 0.5000 0.5000 Tc
```

A crystal of ReSeBr2 relaxed with PBEsol, computed with meta-GGA SCAN.

Computed properties:
The value obtained for the formation energy from raw total energies is 1618 meV per atom. For the polymorph energy (0 for the lowest one), the calculation gives 1233 meV per atom. The symmetry is No. 225. The total magnetization comes out at 0.01 Bohr magnetons per cell.

Geometry as POSCAR:
```
ReSeBr2
1.0
4.6748 0.0000 0.0000
2.3374 4.0485 0.0000
2.3374 1.3495 3.8170
Br Re Se
2 1 1
direct
0.2500 0.2500 0.2500 Br
0.7500 0.7500 0.7500 Br
0.0000 0.0000 0.0000 Re
0.5000 0.5000 0.5000 Se
```

A crystal of MgCo2Sb relaxed with PBEsol, computed with meta-GGA SCAN.

Computed properties:
The value obtained for the formation energy from raw total energies is 166 meV per atom. The symmetry is No. 99. The total magnetization comes out at 2.99 Bohr magnetons per cell.

Geometry as POSCAR:
```
MgCo2Sb
1.0
-2.3872 -0.8310 -1.7208
0.7786 -2.9377 0.3386
-3.9503 -0.3934 5.6700
Mg Co Sb
1 2 1
direct
0.0000 0.0000 0.4357 Mg
0.5000 0.5000 0.2042 Co
0.0000 0.0000 0.0432 Co
0.5000 0.5000 0.8169 Sb
```

A crystal of LaPd3S4 relaxed with PBEsol, computed with meta-GGA SCAN.

Computed properties:
The value obtained for the formation energy from raw total energies is -1117 meV per atom. The symmetry is No. 223. The total magnetization comes out at 0.00 Bohr magnetons per cell.

Geometry as POSCAR:
```
LaPd3S4
1.0
-1.0271 -4.3858 4.9240
-1.8185 -4.6018 -4.4780
6.3383 -2.0310 -0.4869
S Pd La
8 6 2
direct
0.7500 0.2500 0.7500 S
0.2500 0.7500 0.2500 S
0.2500 0.2500 0.2500 S
0.2500 0.7500 0.7500 S
0.7500 0.2500 0.2500 S
0.2500 0.2500 0.7500 S
0.7500 0.7500 0.7500 S
0.7500 0.7500 0.2500 S
0.5000 0.7500 0.0000 Pd
0.5000 0.2500 0.0000 Pd
0.7500 0.0000 0.5000 Pd
0.0000 0.5000 0.7500 Pd
0.0000 0.5000 0.2500 Pd
0.2500 0.0000 0.5000 Pd
0.5000 0.5000 0.5000 La
0.0000 0.0000 0.0000 La
```

A crystal of ScB2AsC relaxed with PBEsol, computed with meta-GGA SCAN.

Computed properties:
The calculation puts the energy relative to the elements at 2298 meV per atom. The symmetry is No. 123. The total magnetization comes out at 0.00 Bohr magnetons per cell.

Geometry as POSCAR:
```
ScB2AsC
1.0
4.0876 0.0000 0.0000
0.0000 4.3331 0.0000
0.0000 0.0000 4.3331
C As B Sc
1 1 2 1
direct
0.5000 0.0000 0.0000 C
0.5000 0.5000 0.5000 As
0.0000 0.0000 0.5000 B
0.0000 0.5000 0.0000 B
0.0000 0.0000 0.0000 Sc
```